# K3Ba (meta-GGA SCAN, single point on PBEsol structure)
data_K3Ba
_symmetry_space_group_name_H-M 'R -3 m'
_symmetry_Int_Tables_number 166
_symmetry_space_group_name_Hall '-R 3 2"'
_cell_length_a 4.4819
_cell_length_b 4.4819
_cell_length_c 45.8175
_cell_angle_alpha 90.00
_cell_angle_beta 90.00
_cell_angle_gamma 120.00
loop_
_atom_site_label
_atom_site_type_symbol
_atom_site_fract_x
_atom_site_fract_y
_atom_site_fract_z
K1 K 0.0000 0.0000 0.0000
K2 K 0.0000 0.0000 0.2485
Ba1 Ba 0.0000 0.0000 0.5000
# - Fermi-level density of states: 3.930 states/eV/f.u.
# - Final energy: -16.084 eV/atom
# - Size of the total moment: 0.159 μB per formula unit